Entry 1:
CaRe2P | Alexandria via LeMat-Bulk | PBEsol | relaxed; DOS at the Fermi energy = 2.930 states/eV/cell; magnetization = 0.00 μB per cell; ΔH_f (0 K) = 0.57 eV per atom
1.0
3.712 0.000 0.000
0.000 3.712 0.000
-1.856 -1.856 4.776
P Re Ca
1 2 1
Cartesian
0.000 0.000 0.000
0.000 1.856 2.388
1.856 0.000 2.388
1.856 1.856 0.000

=====

Entry 2:
CaRe2P | Alexandria via LeMat-Bulk | PBEsol | relaxed; DOS at the Fermi energy = 3.064 states/eV/cell; magnetization = 0.00 μB per cell; ΔH_f (0 K) = 0.44 eV per atom
1.0
2.804 -0.004 0.000
-0.117 4.761 0.000
0.000 0.000 4.869
P Re Ca
1 2 1
Cartesian
1.402 -0.002 2.435
0.913 1.157 0.000
1.773 3.600 0.000
-0.059 2.381 2.435

=====

Entry 3:
Ca6P19Rh30 | Alexandria via LeMat-Bulk | PBEsol | relaxed; DOS at the Fermi energy = 25.871 states/eV/cell; magnetization = 0.00 μB per cell; ΔH_f (0 K) = -0.94 eV per atom
1.0
-2.688 2.623 -0.007
-2.925 -2.959 14.867
10.450 10.698 -3.830
Rh P Ca
30 19 6
Cartesian
0.128 4.182 6.676
3.077 4.522 10.973
2.031 6.157 7.052
7.033 8.563 -0.037
0.392 4.463 10.360
-0.808 3.263 12.548
6.710 10.913 -1.397
3.800 7.957 3.972
5.002 9.183 1.813
2.335 3.781 8.411
0.240 1.640 10.585
7.719 9.281 2.516
7.017 8.559 9.459
5.926 7.443 5.747
-1.663 -0.337 10.211
8.743 10.295 -3.245
-0.024 1.360 6.903
3.101 7.239 10.916
2.983 4.417 1.491
-2.709 1.299 6.289
4.031 5.510 5.330
3.097 7.229 1.406
1.175 2.557 4.714
4.178 5.645 -0.645
4.893 9.075 7.683
-0.885 3.133 3.039
-3.663 0.310 11.933
0.199 1.551 0.987
0.312 4.364 0.905
-1.969 2.039 8.852
-2.131 1.906 11.163
7.252 8.799 7.128
1.576 2.986 11.922
4.203 5.674 3.027
3.567 7.719 6.303
4.574 8.752 9.969
6.532 10.743 0.936
-1.483 -0.159 7.877
7.212 8.734 -2.370
1.807 5.900 -0.048
5.490 6.986 0.712
1.851 5.981 9.385
0.181 2.913 8.631
1.487 2.880 2.443
-1.208 2.835 5.340
2.498 3.915 6.100
-2.197 1.792 1.683
-3.834 0.147 14.236
6.245 7.767 3.462
6.131 10.336 4.866
4.389 8.535 -1.519
4.688 6.183 8.565
1.395 5.481 3.843
-1.027 0.340 13.419
-1.096 0.244 3.914

=====

Entry 4:
CaPRh2 | Alexandria via LeMat-Bulk | PBEsol | relaxed; DOS at the Fermi energy = 1.706 states/eV/cell; magnetization = 0.00 μB per cell; ΔH_f (0 K) = -0.45 eV per atom
1.0
2.916 0.000 0.000
0.000 2.916 0.000
0.000 0.000 7.289
Rh P Ca
2 1 1
Cartesian
0.000 0.000 2.281
0.000 0.000 5.007
1.458 1.458 3.644
1.458 1.458 0.000

=====

Entry 5:
CaPRh2 | Alexandria via LeMat-Bulk | PBEsol | relaxed; DOS at the Fermi energy = 1.606 states/eV/cell; magnetization = 0.00 μB per cell; ΔH_f (0 K) = -0.42 eV per atom
1.0
3.005 0.000 -0.072
0.000 3.428 0.000
-1.587 0.000 6.562
Rh Ca P
2 1 1
Cartesian
-0.007 0.000 2.071
1.425 0.000 4.418
1.502 1.714 -0.036
-0.794 1.714 3.281

=====

Entry 6:
CaP2Ru | Alexandria via LeMat-Bulk | PBEsol | relaxed; DOS at the Fermi energy = 3.567 states/eV/cell; magnetization = 0.00 μB per cell; ΔH_f (0 K) = -0.08 eV per atom
1.0
3.332 0.000 0.000
0.000 4.317 0.000
0.000 0.000 4.317
P Ru Ca
2 1 1
Cartesian
0.000 2.159 0.000
0.000 0.000 2.159
1.666 2.159 2.159
1.666 0.000 0.000

=====

Entry 7:
Ca2P4Ru | Alexandria via LeMat-Bulk | PBEsol | relaxed; DOS at the Fermi energy = 0.458 states/eV/cell; magnetization = 0.00 μB per cell; ΔH_f (0 K) = -0.86 eV per atom
1.0
-1.594 -5.567 1.253
5.138 -0.835 2.827
-6.279 4.676 12.791
P Ru Ca
16 4 8
Cartesian
-0.816 -0.435 11.070
-2.799 1.567 7.185
0.065 -3.293 9.686
-1.376 -5.072 3.699
-6.492 0.941 13.711
1.987 -2.719 4.489
-0.597 -0.131 8.887
-4.721 0.993 12.382
-4.289 -0.757 15.413
1.444 1.062 6.592
3.758 -2.666 3.160
-2.138 -1.595 7.984
-1.359 3.346 13.172
1.555 -0.969 1.458
-1.918 -1.290 5.802
-4.178 -2.788 10.279
1.772 -3.201 2.040
-3.936 -0.445 7.022
-0.570 1.921 7.809
0.000 0.000 0.000
-0.719 -2.194 3.334
-2.015 0.469 13.537
-5.380 -1.894 12.749
-0.139 2.449 10.712
-2.595 -4.174 6.159
2.646 0.168 4.122
-3.504 0.086 9.924
0.770 -1.812 6.947

=====

Entry 8:
Ca2P4Ru | Alexandria via LeMat-Bulk | PBEsol | relaxed; DOS at the Fermi energy = 0.565 states/eV/cell; magnetization = 0.00 μB per cell; ΔH_f (0 K) = -0.86 eV per atom
1.0
5.928 0.000 0.000
0.000 5.922 -0.012
0.000 -0.253 7.496
Ca P Ru
4 8 2
Cartesian
2.952 4.394 5.025
2.976 1.275 2.459
0.012 1.433 5.031
5.916 4.236 2.453
2.162 5.143 0.280
0.802 2.182 0.285
0.003 1.288 2.146
2.967 1.420 5.343
5.126 3.487 7.198
2.962 4.249 2.140
3.766 0.526 7.204
5.926 4.382 5.338
2.964 2.961 -0.006
0.000 0.000 0.000

=====

Entry 9:
CaPRu2 | Alexandria via LeMat-Bulk | PBEsol | relaxed; DOS at the Fermi energy = 1.782 states/eV/cell; magnetization = 0.00 μB per cell; ΔH_f (0 K) = -0.08 eV per atom
1.0
3.028 0.000 0.001
0.000 3.647 0.000
-1.461 0.000 5.863
P Ca Ru
1 1 2
Cartesian
0.783 1.824 2.932
1.514 1.824 0.000
1.538 0.000 4.053
0.029 0.000 1.811

=====

Entry 10:
CaP2RuS | Alexandria via LeMat-Bulk | PBEsol | relaxed; uncorrected formation energy = -0.292 eV/atom; DOS at the Fermi energy = 3.013 states/eV/cell; magnetization = 0.00 μB per cell
1.0
-0.344 0.345 4.368
3.304 -2.858 0.486
3.477 4.012 -0.043
S Ca P Ru
1 1 2 1
Cartesian
1.738 2.006 -0.021
3.218 0.749 2.405
1.652 -1.429 0.243
-0.172 0.172 2.184
0.000 0.000 0.000

=====

Entry 11:
CaPS3 | Alexandria via LeMat-Bulk | PBEsol | relaxed; uncorrected formation energy = -1.098 eV/atom; DOS at the Fermi energy = 0.000 states/eV/cell; magnetization = 0.00 μB per cell
1.0
-0.658 -5.364 3.577
3.683 -3.752 -4.949
7.758 2.194 4.109
S P Ca
12 4 4
Cartesian
5.399 -3.862 -3.518
6.824 -2.165 -0.555
3.054 -6.390 -1.410
6.029 -5.633 0.291
7.157 -3.621 2.734
4.754 -1.289 2.446
5.383 -3.060 6.255
3.959 -4.758 3.292
3.625 -3.301 0.003
0.941 -5.471 1.649
9.842 -1.452 1.089
7.729 -0.532 4.148
3.718 0.165 1.482
2.484 -4.452 -1.203
7.064 -7.087 1.256
8.298 -2.470 3.940
2.040 -2.783 2.381
3.565 -6.930 1.393
8.743 -4.140 0.356
7.217 0.008 1.344

=====

Entry 12:
CaSbPS2 | Alexandria via LeMat-Bulk | PBEsol | relaxed; uncorrected formation energy = 0.489 eV/atom; DOS at the Fermi energy = 5.374 states/eV/cell; magnetization = 0.00 μB per cell
1.0
5.009 0.000 0.000
0.000 5.009 0.000
0.000 0.000 5.107
S Sb Ca P
2 1 1 1
Cartesian
0.000 2.505 0.000
2.505 0.000 0.000
2.505 2.505 2.554
0.000 0.000 0.000
0.000 0.000 2.554